Entry 1:
Ba3YIn2O6 (PBE, optimized geometry); crystal system = trigonal; DOS at the Fermi energy = 3.63 states/eV/f.u.; E = -6.238 eV per atom; formation energy from raw total energies = -27.398 eV per formula unit
1.0
6.2198 0.0000 0.0000
-3.1099 5.3865 0.0000
0.0000 0.0000 7.1765
Ba Y In O
3 1 2 6
direct
0.0000 0.0000 0.0000 Ba
0.3333 0.6667 0.6241 Ba
0.6667 0.3333 0.3759 Ba
0.0000 0.0000 0.5000 Y
0.3333 0.6667 0.1498 In
0.6667 0.3333 0.8502 In
0.1679 0.3358 0.3128 O
0.1679 0.8321 0.3128 O
0.3358 0.1679 0.6872 O
0.6642 0.8321 0.3128 O
0.8321 0.1679 0.6872 O
0.8321 0.6642 0.6872 O

***

Entry 2:
Ba2YInO5 (PBE, optimized geometry); crystal system = orthorhombic; DOS at the Fermi energy = 0.00 states/eV/f.u.; E = -6.735 eV per atom; formation energy from raw total energies = -22.776 eV per formula unit
1.0
1.8128 -7.2706 0.0000
1.8128 7.2706 0.0000
0.0000 0.0000 11.8257
Ba Y In O
4 2 2 10
direct
0.1021 0.8979 0.5000 Ba
0.1440 0.8560 0.1075 Ba
0.8560 0.1440 0.6075 Ba
0.8979 0.1021 0.0000 Ba
0.2174 0.7826 0.8281 Y
0.7826 0.2174 0.3281 Y
0.4757 0.5243 0.2697 In
0.5243 0.4757 0.7697 In
0.0549 0.9451 0.8557 O
0.2783 0.7217 0.4543 O
0.3170 0.6830 0.2093 O
0.3718 0.6282 0.8103 O
0.4917 0.5083 0.5984 O
0.5083 0.4917 0.0984 O
0.6282 0.3718 0.3103 O
0.6830 0.3170 0.7093 O
0.7217 0.2783 0.9543 O
0.9451 0.0549 0.3557 O

***

Entry 3:
Ba2ZnInO (PBE, optimized geometry); crystal system = monoclinic; DOS at the Fermi energy = 3.09 states/eV/f.u.; E = -3.610 eV per atom; formation energy from raw total energies = -5.236 eV per formula unit
1.0
7.5982 0.0000 0.0000
0.0000 4.4447 0.0000
-2.7858 0.0000 8.8140
Ba Zn In O
4 2 2 2
direct
0.1938 0.2500 0.3836 Ba
0.2018 0.2500 0.9628 Ba
0.7982 0.7500 0.0372 Ba
0.8062 0.7500 0.6164 Ba
0.4411 0.7500 0.2375 Zn
0.5589 0.2500 0.7625 Zn
0.3437 0.7500 0.7042 In
0.6563 0.2500 0.2958 In
0.1602 0.7500 0.1576 O
0.8398 0.2500 0.8424 O

***

Entry 4:
Ba6ZnIn2O (PBE, optimized geometry); crystal system = orthorhombic; DOS at the Fermi energy = 12.80 states/eV/f.u.; E = -2.851 eV per atom; formation energy from raw total energies = -5.261 eV per formula unit
1.0
8.3248 0.0000 0.0000
0.0000 11.7031 0.0000
0.0000 0.0000 8.6327
Ba Zn In O
12 2 4 2
direct
0.0014 0.2500 0.0632 Ba
0.0239 0.2500 0.5164 Ba
0.2500 0.0178 0.2804 Ba
0.2500 0.4822 0.2804 Ba
0.4761 0.2500 0.5164 Ba
0.4986 0.2500 0.0632 Ba
0.5014 0.7500 0.9368 Ba
0.5239 0.7500 0.4836 Ba
0.7500 0.5178 0.7196 Ba
0.7500 0.9822 0.7196 Ba
0.9761 0.7500 0.4836 Ba
0.9986 0.7500 0.9368 Ba
0.2500 0.7500 0.2169 Zn
0.7500 0.2500 0.7831 Zn
0.2500 0.5218 0.7124 In
0.2500 0.9782 0.7124 In
0.7500 0.0218 0.2876 In
0.7500 0.4782 0.2876 In
0.2500 0.2500 0.2660 O
0.7500 0.7500 0.7340 O

***

Entry 5:
Ba3Zn5In2O11 (PBE, optimized geometry); crystal system = cubic; E = -5.250 eV per atom; formation energy from raw total energies = -38.100 eV per formula unit
1.0
0.0000 6.7822 6.7822
6.7822 0.0000 6.7822
6.7822 6.7822 0.0000
Ba Zn In O
6 10 4 22
direct
0.2068 0.2068 0.7932 Ba
0.2068 0.7932 0.2068 Ba
0.2068 0.7932 0.7932 Ba
0.7932 0.2068 0.2068 Ba
0.7932 0.2068 0.7932 Ba
0.7932 0.7932 0.2068 Ba
0.2510 0.5830 0.5830 Zn
0.5816 0.5816 0.9184 Zn
0.5816 0.9184 0.5816 Zn
0.5816 0.9184 0.9184 Zn
0.5830 0.2510 0.5830 Zn
0.5830 0.5830 0.2510 Zn
0.5830 0.5830 0.5830 Zn
0.9184 0.5816 0.5816 Zn
0.9184 0.5816 0.9184 Zn
0.9184 0.9184 0.5816 Zn
0.3347 0.3347 0.3347 In
0.3347 0.3347 0.9960 In
0.3347 0.9960 0.3347 In
0.9960 0.3347 0.3347 In
0.0000 0.0000 0.0000 O
0.1687 0.1687 0.1687 O
0.1687 0.1687 0.4940 O
0.1687 0.4940 0.1687 O
0.1714 0.4975 0.4975 O
0.1714 0.4975 0.8336 O
0.1714 0.8336 0.4975 O
0.4747 0.8418 0.8418 O
0.4940 0.1687 0.1687 O
0.4975 0.1714 0.4975 O
0.4975 0.1714 0.8336 O
0.4975 0.4975 0.1714 O
0.4975 0.4975 0.8336 O
0.4975 0.8336 0.1714 O
0.4975 0.8336 0.4975 O
0.5000 0.5000 0.5000 O
0.8336 0.1714 0.4975 O
0.8336 0.4975 0.1714 O
0.8336 0.4975 0.4975 O
0.8418 0.4747 0.8418 O
0.8418 0.8418 0.4747 O
0.8418 0.8418 0.8418 O

***

Entry 6:
Ba2ZrInO6 (PBE, optimized geometry); crystal system = tetragonal; DOS at the Fermi energy = 7.89 states/eV/f.u.; E = -6.974 eV per atom; formation energy from raw total energies = -24.863 eV per formula unit
1.0
4.2729 0.0000 0.0000
0.0000 4.2729 0.0000
0.0000 0.0000 8.5661
Ba Zr In O
2 1 1 6
direct
0.0000 0.0000 0.2425 Ba
0.0000 0.0000 0.7575 Ba
0.5000 0.5000 0.5000 Zr
0.5000 0.5000 0.0000 In
0.0000 0.5000 0.0000 O
0.0000 0.5000 0.5000 O
0.5000 0.0000 0.0000 O
0.5000 0.0000 0.5000 O
0.5000 0.5000 0.2558 O
0.5000 0.5000 0.7442 O